No. 1
Entry from the Alexandria database: an optimized crystal structure of PmNd3Sm5 (GGA-PBE).

Unit cell a=6.2194 b=11.1748 c=11.6794 alpha=123.71 beta=90.00 gamma=106.16
Fractional coordinates of all 18 atoms:
Nd: 0.5951 0.6395 0.6711
Sm: 0.8264 0.2815 0.1351
Pm: 0.0935 0.0000 0.2500
Sm: 0.1736 0.7185 0.8649
Nd: 0.0445 0.6395 0.1711
Sm: 0.5776 0.0000 0.2500
Sm: 0.0256 0.6432 0.4803
Sm: 0.3824 0.3568 0.0197
Pm: 0.9065 0.0000 0.7500
Nd: 0.0000 0.0000 0.0000
Sm: 0.9744 0.3568 0.5197
Nd: 0.4049 0.3605 0.3289
Sm: 0.4550 0.2815 0.6351
Nd: 0.9555 0.3605 0.8289
Sm: 0.5450 0.7185 0.3649
Sm: 0.6176 0.6432 0.9803
Nd: 0.0000 0.0000 0.5000
Sm: 0.4224 0.0000 0.7500

Results
Its energy above the most stable polymorph in this dataset is 0.00 eV per formula unit. Its symmetry is C2/c (15). The size of the total moment comes out at 0.000 μB/cell. Its formation enthalpy at 0 K is 0.276 eV per atom.

---

No. 2
Entry from the Alexandria database: an optimized crystal structure of CdAgMo2 (GGA-PBE).

Unit cell a=4.9494 b=4.9494 c=5.4281 alpha=85.69 beta=85.69 gamma=31.44
Fractional coordinates of all 4 atoms:
Ag: 0.4994 0.4994 0.4886
Cd: 0.2482 0.2482 0.2645
Mo: 0.9972 0.9972 0.9726
Mo: 0.7552 0.7552 0.7743

Results
Its symmetry is Cm (8). The size of the total moment comes out at 0.000 μB/cell. Its formation enthalpy at 0 K is 0.449 eV per atom.

---

No. 3
Entry from the Alexandria database: an optimized crystal structure of YAlP2Cl (GGA-PBE).

Unit cell a=4.7014 b=4.7014 c=4.7041 alpha=90.00 beta=90.00 gamma=90.00
Fractional coordinates of all 5 atoms:
P: 0.0000 0.5000 0.0000
P: 0.5000 0.0000 0.0000
Y: 0.5000 0.5000 0.5000
Al: 0.0000 0.0000 0.0000
Cl: 0.0000 0.0000 0.5000

Results
The calculation puts the uncorrected formation energy at -0.487 eV/atom. Its energy above the most stable polymorph in this dataset is 0.00 eV per formula unit. Its symmetry is P4/mmm (123). The size of the total moment comes out at 0.000 μB/cell.